No. 1
Material: Th2Co12Ge7
Method: DFT, GGA-PBE
State: optimized geometry

Cell lengths 3.8260, 9.3990, 9.3990 Å; angles 120.00, 90.00, 90.00 degrees
Fractional coordinates of all 21 atoms:
1 Co 0.5000 0.7046 0.0951
2 Co 0.5000 0.5408 0.7699
3 Ge 0.0000 0.7220 0.9458
4 Co 0.5000 0.9049 0.6095
5 Ge 0.5000 0.4280 0.0609
6 Ge 0.0000 0.2238 0.2780
7 Co 0.5000 0.2291 0.4592
8 Co 0.5000 0.2301 0.7709
9 Co 0.0000 0.4778 0.9466
10 Ge 0.5000 0.9391 0.3672
11 Co 0.5000 0.3905 0.2954
12 Co 0.0000 0.9468 0.2213
13 Co 0.0000 0.4688 0.5222
14 Ge 0.0000 0.3333 0.6667
15 Th 0.0000 0.6667 0.3333
16 Co 0.0000 0.0534 0.5312
17 Ge 0.5000 0.6328 0.5720
18 Th 0.5000 0.0000 0.0000
19 Co 0.0000 0.2745 0.0532
20 Co 0.0000 0.7787 0.7255
21 Ge 0.0000 0.0542 0.7762

Output
M_tot ... 4.5 μB per formula unit
Volume ... 292.71 Å³/cell
VASP energy ... -6.644 eV per atom
DFT formation energy ... -0.3376 eV/atom
Crystal system ... hexagonal

No. 2
Material: FeIrRu2
Method: DFT, GGA-PBE
State: optimized geometry

Cell lengths 2.7581, 4.5003, 4.5367 Å; angles 90.00, 90.00, 90.00 degrees
Fractional coordinates of all 4 atoms:
1 Ru 0.0000 0.0000 0.0000
2 Ru 0.5000 0.5000 0.0000
3 Fe 0.5000 0.0000 0.5000
4 Ir 0.0000 0.5000 0.5000

Output
M_tot ... 4.4 μB per formula unit
Volume ... 56.31 Å³/cell
Energy above the lowest structure with this stoichiometry ... 31.3 kJ per mole of atoms
VASP energy ... -8.644 eV per atom
DFT formation energy ... 0.3252 eV/atom
Crystal system ... orthorhombic

No. 3
Material: Rb2BeI6Br
Method: DFT, GGA-PBE
State: optimized geometry

Cell lengths 8.6755, 8.6755, 8.4909 Å; angles 59.28, 59.28, 90.00 degrees
Fractional coordinates of all 10 atoms:
1 I 0.7560 0.7560 0.0000
2 Br 0.0000 0.0000 0.0000
3 I 0.7560 0.2440 0.0000
4 I 0.6949 0.6949 0.6102
5 I 0.3051 0.3051 0.3898
6 Be 0.5000 0.5000 0.0000
7 I 0.2440 0.2440 0.0000
8 Rb 0.2500 0.7500 0.5000
9 Rb 0.7500 0.2500 0.5000
10 I 0.2440 0.7560 0.0000

Output
M_tot ... 1.0 μB per formula unit
Volume ... 441.85 Å³/cell
VASP energy ... -2.208 eV per atom
Crystal system ... tetragonal
Formation energy from raw total energies ... -0.54 eV/atom

No. 4
Material: Ac3Ge7Pd2
Method: DFT, GGA-PBE
State: optimized geometry

Cell lengths 4.5299, 4.5195, 13.7230 Å; angles 98.81, 90.00, 90.00 degrees
Fractional coordinates of all 12 atoms:
1 Ge 0.5000 0.0856 0.1720
2 Ac 0.0000 0.1913 0.3647
3 Ge 0.0000 0.0000 0.0000
4 Pd 0.5000 0.6232 0.2599
5 Ge 0.0000 0.6358 0.1717
6 Ge 0.5000 0.9144 0.8280
7 Ge 0.0000 0.3642 0.8283
8 Ac 0.0000 0.8087 0.6353
9 Ge 0.5000 0.2730 0.5520
10 Pd 0.5000 0.3768 0.7401
11 Ac 0.5000 0.5000 0.0000
12 Ge 0.5000 0.7270 0.4480

Output
M_tot ... 0.0 μB per formula unit
Volume ... 277.64 Å³/cell
VASP energy ... -5.226 eV per atom
DFT formation energy ... -0.6401 eV/atom
Crystal system ... monoclinic

No. 5
Material: HoZn4Ni2
Method: DFT, GGA-PBE
State: optimized geometry

Cell lengths 5.0294, 5.1951, 5.1951 Å; angles 76.70, 61.24, 61.24 degrees
Fractional coordinates of all 7 atoms:
1 Ni 0.7505 0.4994 0.4994
2 Zn 0.3063 0.3877 0.0002
3 Zn 0.6937 0.9998 0.6123
4 Zn 0.6937 0.6123 0.9998
5 Ni 0.2495 0.5006 0.5006
6 Ho 0.0000 0.0000 0.0000
7 Zn 0.3063 0.0002 0.3877

Output
M_tot ... 0.0 μB per formula unit
Volume ... 104.31 Å³/cell
VASP energy ... -3.319 eV per atom
DFT formation energy ... -0.2854 eV/atom
Crystal system ... monoclinic

No. 6
Material: SrCd2Tc
Method: DFT, GGA-PBE
State: optimized geometry

Cell lengths 5.4864, 5.4864, 5.4864 Å; angles 130.61, 130.61, 72.43 degrees
Fractional coordinates of all 4 atoms:
1 Cd 0.5000 0.5000 0.0000
2 Tc 0.7500 0.2500 0.5000
3 Sr 0.2500 0.7500 0.5000
4 Cd 0.0000 0.0000 0.0000

Output
M_tot ... 1.9 μB per formula unit
Volume ... 93.01 Å³/cell
Energy above the lowest structure with this stoichiometry ... 10.0 kJ per mole of atoms
VASP energy ... -3.027 eV per atom
DFT formation energy ... 0.4423 eV/atom
Crystal system ... tetragonal

No. 7
Material: TbDySc3
Method: DFT, GGA-PBE
State: optimized geometry

Cell lengths 5.3505, 5.9432, 9.1092 Å; angles 71.13, 90.00, 90.00 degrees
Fractional coordinates of all 10 atoms:
1 Dy 0.6833 0.1688 0.3996
2 Dy 0.1835 0.6916 0.0068
3 Sc 0.6834 0.7692 0.2010
4 Sc 0.6835 0.9572 0.8066
5 Sc 0.1833 0.5070 0.3975
6 Tb 0.1834 0.2911 0.8054
7 Sc 0.6835 0.3534 0.0089
8 Tb 0.6833 0.5693 0.6010
9 Sc 0.1833 0.9032 0.5998
10 Sc 0.1834 0.0912 0.2054

Output
M_tot ... 0.0 μB per formula unit
Volume ... 274.10 Å³/cell
Energy above the lowest structure with this stoichiometry ... 0.0 kJ per mole of atoms
VASP energy ... -5.619 eV per atom
DFT formation energy ... 0.0261 eV/atom
Crystal system ... monoclinic

No. 8
Material: Pm6CSe3S2
Method: DFT, GGA-PBE
State: optimized geometry

Cell lengths 6.9988, 6.9988, 7.1781 Å; angles 99.33, 99.33, 119.92 degrees
Fractional coordinates of all 12 atoms:
1 S 0.3340 0.6660 0.0000
2 S 0.6660 0.3340 0.0000
3 Pm 0.2351 0.2351 0.7796
4 Pm 0.0722 0.3815 0.2176
5 Se 0.5000 0.5000 0.5000
6 Se 0.8283 0.1717 0.5000
7 Se 0.1717 0.8283 0.5000
8 C 0.0000 0.0000 0.0000
9 Pm 0.3815 0.0722 0.2176
10 Pm 0.7649 0.7649 0.2204
11 Pm 0.6185 0.9278 0.7824
12 Pm 0.9278 0.6185 0.7824

Output
M_tot ... 0.0 μB per formula unit
Volume ... 288.34 Å³/cell
VASP energy ... -6.391 eV per atom
Crystal system ... monoclinic
Formation energy from raw total energies ... -1.69 eV/atom

No. 9
Material: HfMgAlCu
Method: DFT, GGA-PBE
State: optimized geometry

Cell lengths 4.6204, 4.6204, 4.6204 Å; angles 60.00, 60.00, 60.00 degrees
Fractional coordinates of all 4 atoms:
1 Hf 0.7500 0.7500 0.7500
2 Mg 0.2500 0.2500 0.2500
3 Cu 0.0000 0.0000 0.0000
4 Al 0.5000 0.5000 0.5000

Output
M_tot ... 0.0 μB per formula unit
Volume ... 69.75 Å³/cell
VASP energy ... -4.965 eV per atom
DFT formation energy ... -0.1182 eV/atom
Crystal system ... cubic

No. 10
Material: SrMoSe2
Method: DFT, GGA-PBE
State: optimized geometry

Cell lengths 4.1984, 4.1984, 5.8695 Å; angles 90.00, 90.00, 90.00 degrees
Fractional coordinates of all 4 atoms:
1 Se 0.5000 0.5000 0.3745
2 Sr 0.0000 0.0000 0.3750
3 Se 0.0000 0.0000 0.8750
4 Mo 0.5000 0.5000 0.8755

Output
M_tot ... 3.9 μB per formula unit
Volume ... 103.46 Å³/cell
Energy above the lowest structure with this stoichiometry ... 21.0 kJ per mole of atoms
VASP energy ... -5.437 eV per atom
Crystal system ... tetragonal
Formation energy from raw total energies ... -0.57 eV/atom

No. 11
Material: ReAgP2
Method: DFT, GGA-PBE
State: optimized geometry

Cell lengths 3.0864, 5.0424, 3.9728 Å; angles 90.00, 90.00, 90.00 degrees
Fractional coordinates of all 4 atoms:
1 P 0.0000 0.0000 0.0000
2 P 0.5000 0.5000 0.0000
3 Ag 0.0000 0.5000 0.5000
4 Re 0.5000 0.0000 0.5000

Output
M_tot ... 0.0 μB per formula unit
Volume ... 61.83 Å³/cell
Energy above the lowest structure with this stoichiometry ... 68.8 kJ per mole of atoms
VASP energy ... -5.791 eV per atom
DFT formation energy ... 0.7392 eV/atom
Crystal system ... orthorhombic

No. 12
Material: CaFeAg2
Method: DFT, GGA-PBE
State: optimized geometry

Cell lengths 4.4273, 4.4273, 3.9828 Å; angles 90.00, 90.00, 90.00 degrees
Fractional coordinates of all 4 atoms:
1 Ca 0.5000 0.0000 0.5000
2 Ag 0.5000 0.5000 0.0000
3 Fe 0.0000 0.5000 0.5000
4 Ag 0.0000 0.0000 0.0000

Output
M_tot ... 2.5 μB per formula unit
Volume ... 78.07 Å³/cell
Energy above the lowest structure with this stoichiometry ... 6.4 kJ per mole of atoms
VASP energy ... -3.775 eV per atom
DFT formation energy ... 0.2672 eV/atom
Crystal system ... tetragonal

No. 13
Material: Cs2HfBe
Method: DFT, GGA-PBE
State: optimized geometry

Cell lengths 10.2651, 10.2651, 10.2651 Å; angles 93.26, 93.26, 152.41 degrees
Fractional coordinates of all 8 atoms:
1 Cs 0.6941 0.3750 0.8191
2 Hf 0.2500 0.7500 0.5000
3 Cs 0.6250 0.4441 0.3191
4 Cs 0.5559 0.8750 0.1809
5 Hf 0.0000 0.0000 0.0000
6 Cs 0.1250 0.3059 0.6809
7 Be 0.5000 0.5000 0.0000
8 Be 0.7500 0.2500 0.5000

Output
M_tot ... 0.8 μB per formula unit
Volume ... 486.52 Å³/cell
VASP energy ... -2.544 eV per atom
DFT formation energy ... 1.3025 eV/atom
Crystal system ... tetragonal

No. 14
Material: Er3Hg2Au
Method: DFT, GGA-PBE
State: optimized geometry

Cell lengths 3.6382, 3.6382, 11.0313 Å; angles 90.00, 90.00, 90.00 degrees
Fractional coordinates of all 6 atoms:
1 Hg 0.5000 0.5000 0.1671
2 Er 0.0000 0.0000 0.0000
3 Au 0.5000 0.5000 0.5000
4 Hg 0.5000 0.5000 0.8329
5 Er 0.0000 0.0000 0.6566
6 Er 0.0000 0.0000 0.3434

Output
M_tot ... 0.0 μB per formula unit
Volume ... 146.01 Å³/cell
Energy above the lowest structure with this stoichiometry ... 0.0 kJ per mole of atoms
VASP energy ... -3.547 eV per atom
DFT formation energy ... -0.6185 eV/atom
Crystal system ... tetragonal

No. 15
Material: TbEr4Ru
Method: DFT, GGA-PBE
State: optimized geometry

Cell lengths 5.4676, 7.3818, 9.5094 Å; angles 90.00, 106.71, 90.00 degrees
Fractional coordinates of all 12 atoms:
1 Er 0.1147 0.7805 0.2295
2 Ru 0.3977 0.2807 0.7954
3 Er 0.7020 0.5242 0.4041
4 Ru 0.6023 0.7807 0.2046
5 Er 0.7023 0.0366 0.4046
6 Tb 0.1142 0.2805 0.2284
7 Er 0.5001 0.0310 0.0002
8 Er 0.2980 0.0242 0.5959
9 Er 0.4999 0.5310 0.9998
10 Er 0.2977 0.5366 0.5954
11 Er 0.8853 0.2805 0.7705
12 Tb 0.8858 0.7805 0.7716

Output
M_tot ... 0.0 μB per formula unit
Volume ... 367.61 Å³/cell
VASP energy ... -5.415 eV per atom
DFT formation energy ... -0.0550 eV/atom
Crystal system ... orthorhombic

No. 16
Material: SrCe4Pd3S12
Method: DFT, GGA-PBE
State: optimized geometry

Cell lengths 8.5546, 8.5546, 8.5546 Å; angles 109.47, 109.47, 109.47 degrees
Fractional coordinates of all 20 atoms:
1 S 0.8467 0.1617 0.3150
2 S 0.1533 0.8383 0.6850
3 S 0.5317 0.6850 0.8467
4 S 0.6850 0.8467 0.5317
5 Ce 0.0000 0.0000 0.5000
6 Pd 0.0000 0.5000 0.5000
7 S 0.1533 0.4683 0.3150
8 Ce 0.5000 0.5000 0.5000
9 S 0.8467 0.5317 0.6850
10 Ce 0.5000 0.0000 0.0000
11 Pd 0.5000 0.5000 0.0000
12 S 0.3150 0.1533 0.4683
13 S 0.1617 0.3150 0.8467
14 Pd 0.5000 0.0000 0.5000
15 S 0.4683 0.3150 0.1533
16 S 0.6850 0.1533 0.8383
17 Ce 0.0000 0.5000 0.0000
18 S 0.8383 0.6850 0.1533
19 Sr 0.0000 0.0000 0.0000
20 S 0.3150 0.8467 0.1617

Output
M_tot ... 0.0 μB per formula unit
Volume ... 481.92 Å³/cell
VASP energy ... -5.763 eV per atom
Crystal system ... cubic
Formation energy from raw total energies ... -1.24 eV/atom

No. 17
Material: TbPrSnHg
Method: DFT, GGA-PBE
State: optimized geometry

Cell lengths 4.4661, 4.4898, 6.2690 Å; angles 90.00, 110.87, 90.00 degrees
Fractional coordinates of all 4 atoms:
1 Sn 0.5864 0.5000 0.1728
2 Hg 0.4133 0.0000 0.8265
3 Pr 0.8614 0.5000 0.7229
4 Tb 0.1389 0.0000 0.2778

Output
M_tot ... 0.1 μB per formula unit
Volume ... 117.46 Å³/cell
Energy above the lowest structure with this stoichiometry ... 0.0 kJ per mole of atoms
VASP energy ... -4.017 eV per atom
DFT formation energy ... -0.5881 eV/atom
Crystal system ... orthorhombic

No. 18
Material: MgNb2ReSi
Method: DFT, GGA-PBE
State: optimized geometry

Cell lengths 4.8201, 4.9567, 4.8201 Å; angles 90.00, 90.00, 90.00 degrees
Fractional coordinates of all 5 atoms:
1 Re 0.0000 0.0000 0.0000
2 Si 0.5000 0.5000 0.5000
3 Nb 0.5000 0.0000 0.0000
4 Mg 0.0000 0.5000 0.0000
5 Nb 0.0000 0.0000 0.5000

Output
M_tot ... 0.0 μB per formula unit
Volume ... 115.16 Å³/cell
VASP energy ... -6.706 eV per atom
Crystal system ... tetragonal
Formation energy from raw total energies ... 1.21 eV/atom

No. 19
Material: In2Hg6Pb
Method: DFT, GGA-PBE
State: optimized geometry

Cell lengths 3.2519, 8.8604, 9.6244 Å; angles 66.93, 80.27, 79.43 degrees
Fractional coordinates of all 9 atoms:
1 Hg 0.9761 0.3380 0.7099
2 In 0.3289 0.0201 0.3222
3 Hg 0.6367 0.3227 0.4039
4 Pb 0.0000 0.0000 0.0000
5 Hg 0.7989 0.3391 0.0631
6 Hg 0.2011 0.6609 0.9369
7 Hg 0.3633 0.6773 0.5961
8 In 0.6711 0.9799 0.6778
9 Hg 0.0239 0.6620 0.2901

Output
M_tot ... 0.0 μB per formula unit
Volume ... 249.34 Å³/cell
Energy above the lowest structure with this stoichiometry ... 0.4 kJ per mole of atoms
VASP energy ... -1.197 eV per atom
DFT formation energy ... 0.0250 eV/atom
Crystal system ... monoclinic

No. 20
Material: BaTc3Au
Method: DFT, GGA-PBE
State: optimized geometry

Cell lengths 4.9589, 4.9589, 4.9589 Å; angles 90.00, 90.00, 90.00 degrees
Fractional coordinates of all 5 atoms:
1 Tc 0.0000 0.0000 0.5000
2 Tc 0.5000 0.0000 0.0000
3 Au 0.5000 0.5000 0.5000
4 Tc 0.0000 0.5000 0.0000
5 Ba 0.0000 0.0000 0.0000

Output
M_tot ... 5.3 μB per formula unit
Volume ... 121.94 Å³/cell
Energy above the lowest structure with this stoichiometry ... 116.9 kJ per mole of atoms
VASP energy ... -4.327 eV per atom
DFT formation energy ... 2.9327 eV/atom
Crystal system ... cubic

No. 21
Material: MgCr2Br
Method: DFT, GGA-PBE
State: optimized geometry

Cell lengths 8.8228, 8.8228, 8.8228 Å; angles 21.95, 21.95, 21.95 degrees
Fractional coordinates of all 4 atoms:
1 Cr 0.0040 0.0040 0.0040
2 Br 0.7500 0.7500 0.7500
3 Mg 0.2500 0.2500 0.2500
4 Cr 0.4960 0.4960 0.4960

Output
M_tot ... 8.7 μB per formula unit
Volume ... 84.13 Å³/cell
Energy above the lowest structure with this stoichiometry ... 33.5 kJ per mole of atoms
VASP energy ... -5.098 eV per atom
Crystal system ... trigonal
Formation energy from raw total energies ... 0.53 eV/atom

No. 22
Material: LaPu2O11
Method: DFT, GGA-PBE
State: optimized geometry

Cell lengths 8.4659, 8.6438, 8.6436 Å; angles 73.72, 60.68, 60.68 degrees
Fractional coordinates of all 28 atoms:
1 O 0.1690 0.0029 0.2383
2 O 0.2793 0.5224 0.2350
3 Pu 0.2228 0.7615 0.2385
4 O 0.9914 0.1964 0.5617
5 O 0.9103 0.4970 0.2617
6 O 0.0367 0.7650 0.4776
7 O 0.7793 0.7350 0.0224
8 O 0.6044 0.4216 0.5784
9 O 0.2494 0.3036 0.9383
10 O 0.5551 0.2441 0.9970
11 O 0.5367 0.9776 0.2650
12 O 0.7495 0.4383 0.8036
13 O 0.4680 0.6845 0.3155
14 O 0.7962 0.0030 0.7559
15 La 0.7345 0.7500 0.7500
16 O 0.9624 0.0400 0.9600
17 Pu 0.2706 0.2785 0.7215
18 O 0.2962 0.2559 0.5029
19 Pu 0.7706 0.2215 0.7785
20 O 0.6690 0.7383 0.5030
21 O 0.1044 0.0784 0.9216
22 O 0.4913 0.0617 0.6964
23 O 0.4624 0.4599 0.5401
24 Pu 0.7228 0.7385 0.2615
25 O 0.4102 0.7617 0.9971
26 O 0.9680 0.8155 0.1845
27 La 0.2345 0.2500 0.2500
28 O 0.0551 0.4971 0.7441

Output
M_tot ... 3.0 μB per formula unit
Volume ... 480.15 Å³/cell
VASP energy ... -8.225 eV per atom
Crystal system ... orthorhombic
Formation energy from raw total energies ... -1.93 eV/atom

No. 23
Material: Na2P2Pd3
Method: DFT, GGA-PBE
State: optimized geometry

Cell lengths 3.0770, 6.0232, 7.5844 Å; angles 87.98, 101.70, 90.00 degrees
Fractional coordinates of all 7 atoms:
1 Pd 0.0000 0.0000 0.0000
2 P 0.5867 0.7598 0.1735
3 P 0.4133 0.2402 0.8265
4 Pd 0.8063 0.1323 0.6126
5 Pd 0.1937 0.8677 0.3874
6 Na 0.8627 0.6465 0.7254
7 Na 0.1373 0.3535 0.2746

Output
M_tot ... 0.0 μB per formula unit
Volume ... 137.55 Å³/cell
Energy above the lowest structure with this stoichiometry ... 12.3 kJ per mole of atoms
VASP energy ... -4.495 eV per atom
DFT formation energy ... -0.3472 eV/atom
Crystal system ... monoclinic